Arrangement 1

A geometry-optimized Li4TlCd2 structure. Source: Alexandria via LeMat-Bulk, functional PBE.

a = 5.3019 Å, b = 11.0639 Å, c = 5.1837 Å
α = 90.00°, β = 90.00°, γ = 90.00°
Closest atoms and distances in Å follow each position.
Space group Cmmm (No. 65)
Unique sites:
Li  0.0000  0.1320  0.0000 x4  3 Cd 2.65-2.69, 1 Li 2.92
Li  0.0000  0.2998  0.5000 x4  2 Cd 2.72, 2 Li 2.87
Tl  0.0000  0.0000  0.5000 x2  6 Li 2.97-3.32
Cd  0.0000  0.3749  0.0000 x4  5 Li 2.65-2.72, 1 Cd 2.77

crystal system	orthorhombic


Arrangement 2

A geometry-optimized Li4TlCd2 structure. Source: Alexandria via LeMat-Bulk, functional PBE.

a = 4.7964 Å, b = 4.7964 Å, c = 21.3513 Å
α = 90.00°, β = 90.00°, γ = 120.00°
Closest atoms and distances in Å follow each position.
Space group R-3m (No. 166, hexagonal axes)
Unique sites:
Li  0.0000  0.0000  0.0847 x6  3 Cd 2.79, 3 Li 3.00
Li  0.0000  0.0000  0.3644 x6  1 Cd 2.78, 1 Tl 2.89, 6 Li 3.00-3.07
Tl  0.0000  0.0000  0.5000 x3  2 Li 2.89, 6 Cd 3.12
Cd  0.0000  0.0000  0.2341 x6  4 Li 2.78-2.79

crystal system	trigonal


Need the numbers? Relative energies in meV/atom: arrangement 1 117; arrangement 2 0.


Arrangement 1

A geometry-optimized LiTlCd4 structure. Source: Alexandria via LeMat-Bulk, functional PBE.

a = 3.2322 Å, b = 3.9541 Å, c = 10.7117 Å
α = 90.00°, β = 90.00°, γ = 90.00°
Closest atoms and distances in Å follow each position.
Space group Pmmm (No. 47)
Unique sites:
Li  0.0000  0.0000  0.0000 x1  10 Cd 2.97-3.19, 2 Li 3.23
Tl  0.5000  0.5000  0.5000 x1  2 Tl 3.23, 8 Cd 3.35
Cd  0.0000  0.0000  0.2974 x2  6 Cd 3.06-3.23, 1 Li 3.19, 4 Tl 3.35
Cd  0.5000  0.5000  0.1409 x2  4 Li 2.97, 7 Cd 3.02-3.23

crystal system	orthorhombic


Arrangement 2

A geometry-optimized LiTlCd4 structure. Source: Alexandria via LeMat-Bulk, functional PBE.

a = 8.3795 Å, b = 8.3795 Å, c = 8.3795 Å
α = 90.00°, β = 90.00°, γ = 90.00°
Closest atoms and distances in Å follow each position.
Space group F-43m (No. 216)
Unique sites:
Li  0.0000  0.0000  0.0000 x4  12 Cd 3.47, 4 Tl 3.63
Tl  0.2500  0.2500  0.7500 x4  12 Cd 3.48, 4 Li 3.63
Cd  0.1255  0.1255  0.3745 x16  6 Cd 2.95-2.97

crystal system	cubic


Need the numbers? Relative energies in meV/atom: arrangement 1 0; arrangement 2 20.


Arrangement 1

A geometry-optimized Li3TlCd structure. Source: Alexandria via LeMat-Bulk, functional PBE.

a = 8.0046 Å, b = 12.1789 Å, c = 4.8968 Å
α = 90.00°, β = 90.00°, γ = 90.00°
Closest atoms and distances in Å follow each position.
Space group Cmcm (No. 63)
Unique sites:
Li  0.0000  0.0000  0.0000 x4  2 Li 2.45
Li  0.1678  0.3433  0.2500 x8  1 Li 2.69, 1 Tl 2.73, 1 Cd 2.95
Tl  0.0000  0.2074  0.7500 x4  4 Li 2.73-2.81, 1 Cd 2.85
Cd  0.0000  0.4412  0.7500 x4  2 Cd 2.84, 1 Tl 2.85, 6 Li 2.95-3.04

crystal system	orthorhombic


Arrangement 2

A geometry-optimized Li3TlCd structure. Source: Alexandria via LeMat-Bulk, functional PBE.

a = 5.0574 Å, b = 5.0574 Å, c = 5.0574 Å
α = 90.00°, β = 90.00°, γ = 90.00°
Closest atoms and distances in Å follow each position.
Space group Pm-3m (No. 221)
Unique sites:
Li  0.0000  0.0000  0.5000 x3  2 Cd 2.53
Tl  0.5000  0.5000  0.5000 x1  12 Li 3.58
Cd  0.0000  0.0000  0.0000 x1  6 Li 2.53

crystal system	cubic


Arrangement 3

A geometry-optimized Li3TlCd structure. Source: Alexandria via LeMat-Bulk, functional PBE.

a = 14.4878 Å, b = 4.7056 Å, c = 5.7967 Å
α = 90.00°, β = 100.78°, γ = 90.00°
Closest atoms and distances in Å follow each position.
Space group C2/m (No. 12)
Unique sites:
Li  0.0010  0.0000  0.2441 x4  1 Cd 2.81, 5 Li 2.82-2.97, 2 Tl 2.92
Li  0.1030  0.5000  0.4618 x4  2 Tl 2.86-2.94, 3 Cd 2.93, 3 Li 2.93-3.10
Li  0.2016  0.0000  0.8071 x4  4 Cd 2.84-2.95, 1 Li 2.90, 3 Tl 2.90-2.96
Tl  0.1034  0.5000  0.9549 x4  7 Li 2.86-2.96, 1 Tl 3.14
Cd  0.1983  0.0000  0.3150 x4  8 Li 2.81-2.95

crystal system	monoclinic


Need the numbers? Relative energies in meV/atom: arrangement 1 204; arrangement 2 309; arrangement 3 0.


Arrangement 1

A geometry-optimized Li7Tl2Cd structure. Source: Alexandria via LeMat-Bulk, functional PBE.

a = 4.7193 Å, b = 4.7193 Å, c = 10.0687 Å
α = 90.00°, β = 90.00°, γ = 120.00°
Closest atoms and distances in Å follow each position.
Space group P3m1 (No. 156)
Unique sites:
Li  0.0000  0.0000  0.0000 x1  2 Li 2.38-2.41
Li  0.0000  0.0000  0.2368 x1  1 Li 2.38, 1 Tl 2.64
Li  0.0000  0.0000  0.7610 x1  1 Li 2.41, 1 Tl 2.64
Li  0.3333  0.6667  0.4031 x1  4 Tl 2.89-3.11, 6 Li 3.17-3.20
Li  0.3333  0.6667  0.7807 x1  3 Li 2.73, 3 Cd 3.05
Li  0.6667  0.3333  0.2430 x1  3 Li 2.73
Li  0.6667  0.3333  0.6097 x1  3 Tl 2.95, 1 Cd 3.09, 6 Li 3.12-3.22
Tl  0.0000  0.0000  0.4986 x1  8 Li 2.64-2.95
Tl  0.3333  0.6667  0.0947 x1  11 Li 2.89-3.16
Cd  0.6667  0.3333  0.9167 x1  10 Li 2.85-3.14

crystal system	trigonal


Arrangement 2

A geometry-optimized Li7Tl2Cd structure. Source: Alexandria via LeMat-Bulk, functional PBE.

a = 9.8088 Å, b = 9.8088 Å, c = 9.8088 Å
α = 90.00°, β = 90.00°, γ = 90.00°
Closest atoms and distances in Å follow each position.
Space group Fm-3m (No. 225)
Unique sites:
Li  0.0000  0.0000  0.0000 x4  6 Li 2.40
Li  0.0000  0.0000  0.2445 x24  1 Li 2.40, 1 Cd 2.51
Tl  0.2500  0.2500  0.2500 x8  12 Li 3.47
Cd  0.0000  0.0000  0.5000 x4  6 Li 2.51

crystal system	cubic


Need the numbers? Relative energies in meV/atom: arrangement 1 0; arrangement 2 299.